1.
VASP calculation (PBE-GGA) on Ca2YMg2 after structural relaxation.

Geometry as POSCAR:
```
Ca2YMg2
1.0
9.325 0.000 0.000
0.000 9.325 0.000
0.000 0.000 3.576
Ca Y Mg
4 2 4
Cartesian
1.235 3.427 0.000
3.427 8.089 0.000
5.898 1.235 0.000
8.089 5.898 0.000
0.000 0.000 0.000
4.662 4.662 0.000
1.545 6.207 1.788
3.117 1.545 1.788
6.207 7.780 1.788
7.780 3.117 1.788
```

Properties
- energy above the most stable polymorph in this dataset (kJ/mol of atoms) = 9.7
- E_tot (eV per atom) = -2.6476
- SG = P4/mbm, No. 127
- calculated formation energy (meV/atom) = 83.6

***

2.
VASP calculation (PBE-GGA) on CaSm3Te4 after structural relaxation.

Geometry as POSCAR:
```
CaSm3Te4
1.0
4.492 -6.294 0.000
4.492 6.294 0.000
0.000 0.000 4.422
Ca Sm Te
1 3 4
Cartesian
0.000 0.000 0.000
2.246 3.147 2.211
2.246 -3.147 2.211
4.492 0.000 0.000
2.229 0.000 2.211
4.492 3.167 0.000
4.492 -3.167 0.000
6.754 0.000 2.211
```

Properties
- E_tot (eV per atom) = -5.0286
- SG = Cmmm, No. 65

***

3.
VASP calculation (PBE-GGA) on Te2IrBr after structural relaxation.

Geometry as POSCAR:
```
Te2IrBr
1.0
2.288 -2.293 0.000
2.288 2.293 0.000
0.000 0.000 10.805
Te Ir Br
2 1 1
Cartesian
0.000 0.000 0.000
2.288 0.000 3.392
2.288 0.000 9.385
0.000 0.000 7.471
```

Properties
- energy above the most stable polymorph in this dataset (kJ/mol of atoms) = 53.9
- E_tot (eV per atom) = -3.9099
- SG = Cmm2, No. 35

***

4.
VASP calculation (PBE-GGA) on Er3Si2Ru after structural relaxation.

Geometry as POSCAR:
```
Er3Si2Ru
1.0
11.433 0.000 0.000
0.000 4.131 0.000
0.000 0.000 11.108
Er Si Ru
12 8 4
Cartesian
0.656 1.033 1.351
1.401 3.099 6.178
2.464 1.033 8.868
3.252 3.099 3.314
4.316 1.033 0.624
5.061 3.099 6.905
6.372 1.033 4.203
7.117 3.099 10.484
8.180 1.033 7.793
8.969 3.099 2.240
10.032 1.033 4.930
10.777 3.099 9.757
0.203 3.099 3.479
2.218 3.099 11.040
3.498 1.033 5.486
5.513 1.033 9.033
5.919 3.099 2.075
7.935 3.099 5.621
9.214 1.033 0.068
11.230 1.033 7.629
1.465 1.033 4.017
4.252 3.099 9.571
7.181 1.033 1.537
9.968 3.099 7.091
```

Properties
- E_tot (eV per atom) = -6.3357
- SG = Pnma, No. 62

***

5.
VASP calculation (PBE-GGA) on KLiHoBr5 after structural relaxation.

Geometry as POSCAR:
```
KLiHoBr5
1.0
4.624 -6.340 0.000
4.624 6.340 0.000
-4.177 0.000 9.670
K Li Ho Br
2 2 2 10
Cartesian
1.491 4.434 7.252
3.580 -4.434 2.417
3.580 3.910 2.417
1.491 -3.910 7.252
4.624 0.000 0.000
2.536 0.000 4.835
-2.130 0.815 8.995
1.952 2.511 3.770
-0.041 -0.815 4.160
5.207 2.511 1.065
1.491 1.029 7.252
3.580 -1.029 2.417
-0.136 -2.511 8.605
5.112 0.815 5.510
3.119 -2.511 5.900
7.201 -0.815 0.675
```

Properties
- E_tot (eV per atom) = -3.7538
- SG = C2/c, No. 15

***

6.
VASP calculation (PBE-GGA) on CrAgBr2 after structural relaxation.

Geometry as POSCAR:
```
CrAgBr2
1.0
-1.959 1.959 6.808
1.959 -1.959 6.808
1.959 1.959 -6.808
Cr Ag Br
1 1 2
Cartesian
0.000 0.000 0.000
1.959 0.000 3.404
0.000 0.000 6.808
0.000 1.959 3.404
```

Properties
- energy above the most stable polymorph in this dataset (kJ/mol of atoms) = 8.7
- E_tot (eV per atom) = -3.9559
- SG = I-4m2, No. 119

***

7.
VASP calculation (PBE-GGA) on LiGeIrO4 after structural relaxation.

Geometry as POSCAR:
```
LiGeIrO4
1.0
2.755 -4.374 0.000
2.755 4.374 0.000
0.000 0.000 6.333
Li Ge Ir O
2 2 2 8
Cartesian
2.755 2.979 4.750
2.755 -2.979 1.583
2.755 2.951 1.583
2.755 -2.951 4.750
2.755 0.000 0.000
2.755 0.000 3.167
1.376 0.142 4.750
2.755 2.066 0.082
2.755 2.066 3.085
1.376 -0.142 1.583
4.134 0.142 4.750
2.755 -2.066 3.248
2.755 -2.066 6.251
4.134 -0.142 1.583
```

Properties
- E_tot (eV per atom) = -6.2880
- SG = Cmcm, No. 63

***

8.
VASP calculation (PBE-GGA) on In2BiH2 after structural relaxation.

Geometry as POSCAR:
```
In2BiH2
1.0
-1.849 1.849 6.944
1.849 -1.849 6.944
1.849 1.849 -6.944
In Bi H
2 1 2
Cartesian
0.000 0.000 2.178
0.000 0.000 11.710
0.000 0.000 6.944
1.849 0.000 3.472
0.000 1.849 3.472
```

Properties
- energy above the most stable polymorph in this dataset (kJ/mol of atoms) = 20.4
- E_tot (eV per atom) = -2.9367
- SG = I4/mmm, No. 139

***

9.
VASP calculation (PBE-GGA) on KHoP2Pd4 after structural relaxation.

Geometry as POSCAR:
```
KHoP2Pd4
1.0
4.117 0.000 0.000
0.000 4.117 0.000
0.000 0.000 10.365
K Ho P Pd
1 1 2 4
Cartesian
0.000 0.000 0.000
0.000 0.000 5.183
2.058 2.058 2.013
2.058 2.058 8.353
0.000 2.058 3.128
0.000 2.058 7.237
2.058 0.000 3.128
2.058 0.000 7.237
```

Properties
- E_tot (eV per atom) = -5.2525
- SG = P4/mmm, No. 123
- calculated formation energy (meV/atom) = -594.2

***

10.
VASP calculation (PBE-GGA) on Ce2SbAu2 after structural relaxation.

Geometry as POSCAR:
```
Ce2SbAu2
1.0
7.876 0.000 0.000
0.000 7.876 0.000
0.000 0.000 4.139
Ce Sb Au
4 2 4
Cartesian
1.377 2.561 0.000
2.561 6.499 0.000
5.315 1.377 0.000
6.499 5.315 0.000
0.000 0.000 2.070
3.938 3.938 2.070
0.991 4.929 2.070
2.946 0.991 2.070
4.929 6.884 2.070
6.884 2.946 2.070
```

Properties
- E_tot (eV per atom) = -5.2433
- SG = P4/mbm, No. 127

***

11.
VASP calculation (PBE-GGA) on LaInPd after structural relaxation.

Geometry as POSCAR:
```
LaInPd
1.0
-1.755 1.755 5.851
1.755 -1.755 5.851
1.755 1.755 -5.851
La In Pd
1 1 1
Cartesian
0.000 0.000 0.000
0.000 0.000 8.266
0.000 0.000 3.833
```

Properties
- E_tot (eV per atom) = -4.8629
- SG = I4mm, No. 107
- calculated formation energy (meV/atom) = -576.6

***

12.
VASP calculation (PBE-GGA) on Na2UPtO6 after structural relaxation.

Geometry as POSCAR:
```
Na2UPtO6
1.0
5.722 0.000 0.000
0.000 5.722 0.000
0.000 0.000 4.223
Na U Pt O
2 1 1 6
Cartesian
0.000 2.861 0.000
2.861 0.000 0.000
0.000 0.000 2.111
2.861 2.861 2.111
0.000 0.000 0.000
1.443 1.443 2.111
1.443 4.279 2.111
2.861 2.861 0.000
4.279 1.443 2.111
4.279 4.279 2.111
```

Properties
- E_tot (eV per atom) = -6.8252
- SG = P4/mmm, No. 123

***

13.
VASP calculation (PBE-GGA) on SrZnBr2 after structural relaxation.

Geometry as POSCAR:
```
SrZnBr2
1.0
-2.314 2.314 5.415
2.314 -2.314 5.415
2.314 2.314 -5.415
Sr Zn Br
1 1 2
Cartesian
0.000 0.000 0.000
2.314 0.000 2.707
0.000 0.000 5.415
0.000 2.314 2.707
```

Properties
- energy above the most stable polymorph in this dataset (kJ/mol of atoms) = 21.0
- E_tot (eV per atom) = -2.6790
- SG = I-4m2, No. 119

***

14.
VASP calculation (PBE-GGA) on BeTlCl2 after structural relaxation.

Geometry as POSCAR:
```
BeTlCl2
1.0
-2.044 2.044 6.750
2.044 -2.044 6.750
2.044 2.044 -6.750
Be Tl Cl
1 1 2
Cartesian
0.000 0.000 0.000
0.000 2.044 3.375
2.044 0.000 3.375
0.000 0.000 6.750
```

Properties
- energy above the most stable polymorph in this dataset (kJ/mol of atoms) = 79.5
- E_tot (eV per atom) = -2.3892
- SG = I-4m2, No. 119

***

15.
VASP calculation (PBE-GGA) on Er3Tm4Zr after structural relaxation.

Geometry as POSCAR:
```
Er3Tm4Zr
1.0
10.948 0.000 0.000
0.000 7.065 0.000
0.000 0.000 6.093
Er Tm Zr
6 8 2
Cartesian
0.000 0.832 0.000
2.713 0.859 2.015
2.761 6.206 5.061
5.474 6.233 3.046
8.188 6.206 5.061
8.235 0.859 2.015
0.000 2.644 3.052
0.000 4.464 6.091
2.677 4.441 2.074
2.797 2.624 5.120
5.474 2.601 3.045
5.474 4.421 0.006
8.151 2.624 5.120
8.271 4.441 2.074
0.000 6.179 3.076
5.474 0.886 0.029
```

Properties
- E_tot (eV per atom) = -4.9897
- SG = Pmn2_1, No. 31
- calculated formation energy (meV/atom) = 25.7

***

16.
VASP calculation (PBE-GGA) on Ba6Cd2In after structural relaxation.

Geometry as POSCAR:
```
Ba6Cd2In
1.0
-5.831 5.969 6.020
5.831 -5.969 6.020
5.831 5.969 -6.020
Ba Cd In
12 4 2
Cartesian
5.831 3.675 -3.031
3.317 0.000 2.021
8.345 0.000 2.021
2.781 3.889 0.000
3.050 -2.080 6.020
0.000 2.294 2.989
5.831 3.675 3.031
2.781 8.049 0.000
3.050 2.080 6.020
-2.514 5.969 3.999
2.514 5.969 3.999
0.000 2.294 9.052
5.831 1.734 0.000
5.831 0.000 4.542
0.000 5.969 1.478
0.000 4.235 6.020
0.000 0.000 0.000
0.000 0.000 6.020
```

Properties
- energy above the most stable polymorph in this dataset (kJ/mol of atoms) = 4.2
- E_tot (eV per atom) = -2.0099
- SG = Immm, No. 71
- calculated formation energy (meV/atom) = -220.4

***

17.
VASP calculation (PBE-GGA) on NpWS after structural relaxation.

Geometry as POSCAR:
```
NpWS
1.0
1.912 1.104 8.067
-1.912 1.104 8.067
0.000 -2.208 8.067
Np W S
2 2 2
Cartesian
0.000 0.000 3.461
0.000 0.000 20.739
0.000 0.000 7.144
0.000 0.000 17.057
0.000 0.000 9.679
0.000 0.000 14.522
```

Properties
- E_tot (eV per atom) = -9.9573
- SG = R-3m, No. 166

***

18.
VASP calculation (PBE-GGA) on SmY3Tm7 after structural relaxation.

Geometry as POSCAR:
```
SmY3Tm7
1.0
6.983 0.000 0.000
-3.491 6.047 0.000
0.000 0.000 8.572
Sm Y Tm
1 3 7
Cartesian
0.000 0.000 0.000
0.000 2.021 2.902
-1.741 5.037 2.902
1.741 5.037 2.902
-1.734 3.031 0.000
1.735 1.002 5.773
0.000 4.031 5.779
1.734 3.031 0.000
0.000 6.033 0.000
5.248 1.002 5.773
3.491 4.044 5.773
```

Properties
- energy above the most stable polymorph in this dataset (kJ/mol of atoms) = 3.1
- E_tot (eV per atom) = -4.8369
- SG = P3m1, No. 156
- calculated formation energy (meV/atom) = 200.5

***

19.
VASP calculation (PBE-GGA) on CdRu after structural relaxation.

Geometry as POSCAR:
```
CdRu
1.0
4.519 0.000 0.000
-2.260 3.914 0.000
0.000 0.000 4.664
Cd Ru
2 2
Cartesian
0.000 2.609 1.166
2.260 1.305 3.498
0.000 0.000 0.000
0.000 0.000 2.332
```

Properties
- E_tot (eV per atom) = -4.3763
- SG = P6_3/mmc, No. 194
- calculated formation energy (meV/atom) = 719.2

***

20.
VASP calculation (PBE-GGA) on YCd2Pt after structural relaxation.

Geometry as POSCAR:
```
YCd2Pt
1.0
3.815 0.000 0.000
0.000 3.894 0.000
-1.843 0.000 6.277
Y Cd Pt
1 2 1
Cartesian
0.000 0.000 0.000
0.011 0.000 3.366
1.921 1.947 2.013
0.064 1.947 5.399
```

Properties
- E_tot (eV per atom) = -4.1523
- SG = Pm, No. 6
- calculated formation energy (meV/atom) = -568.6

***

21.
VASP calculation (PBE-GGA) on Cs2UTlO6 after structural relaxation.

Geometry as POSCAR:
```
Cs2UTlO6
1.0
0.000 4.436 4.436
4.436 0.000 4.436
4.436 4.436 0.000
Cs U Tl O
2 1 1 6
Cartesian
2.218 2.218 2.218
6.654 6.654 6.654
0.000 0.000 0.000
4.436 4.436 4.436
4.436 4.436 2.070
4.436 2.070 4.436
6.802 4.436 4.436
2.070 4.436 4.436
4.436 6.802 4.436
4.436 4.436 6.802
```

Properties
- E_tot (eV per atom) = -6.3811
- SG = Fm-3m, No. 225

***

22.
VASP calculation (PBE-GGA) on Cs2Li2CeSe4 after structural relaxation.

Geometry as POSCAR:
```
Cs2Li2CeSe4
1.0
7.936 -2.204 0.000
7.936 2.204 0.000
-2.671 0.000 7.838
Cs Li Ce Se
2 2 1 4
Cartesian
2.036 0.000 0.521
11.165 0.000 7.318
3.715 0.000 4.022
9.486 0.000 3.817
-1.336 0.000 3.919
1.281 0.000 5.097
5.758 0.000 5.632
7.443 0.000 2.206
11.920 0.000 2.742
```

Properties
- E_tot (eV per atom) = -4.2666
- SG = C2/m, No. 12

***

23.
VASP calculation (PBE-GGA) on Y2AgSn2 after structural relaxation.

Geometry as POSCAR:
```
Y2AgSn2
1.0
8.804 0.000 0.000
0.000 8.804 0.000
0.000 0.000 3.599
Y Ag Sn
4 2 4
Cartesian
1.197 3.205 0.000
3.205 7.607 0.000
5.599 1.197 0.000
7.607 5.599 0.000
0.000 0.000 0.000
4.402 4.402 0.000
1.491 5.893 1.800
2.911 1.491 1.800
5.893 7.313 1.800
7.313 2.911 1.800
```

Properties
- energy above the most stable polymorph in this dataset (kJ/mol of atoms) = 34.2
- E_tot (eV per atom) = -5.0197
- SG = P4/mbm, No. 127
- calculated formation energy (meV/atom) = -262.7